<1>
Here is an optimized crystal structure of CoTe2Cl from Alexandria via LeMat-Bulk. Energies are from PBEsol.

abc: 6.7110 6.7110 6.7110
angles: 90.00 90.00 90.00
Space group Fm-3m (No. 225)
Unique sites:
Co  0.0000  0.0000  0.0000 (multiplicity 4)
Te  0.2500  0.2500  0.2500 (multiplicity 8)
Cl  0.0000  0.0000  0.5000 (multiplicity 4)

Output
Crystal system: cubic

<2>
Here is an optimized crystal structure of CoTe2Cl from Alexandria via LeMat-Bulk. Energies are from PBEsol.

abc: 3.4644 3.4644 25.7237
angles: 90.00 90.00 120.00
Space group R3m (No. 160, hexagonal axes)
Unique sites:
Co  0.0000  0.0000  0.0000 (multiplicity 3)
Te  0.0000  0.0000  0.4933 (multiplicity 3)
Te  0.0000  0.0000  0.7204 (multiplicity 3)
Cl  0.0000  0.0000  0.2828 (multiplicity 3)

Output
Crystal system: trigonal

Which one sits at the bottom of the stability order? <1> does.

<1>
Here is an optimized crystal structure of CoTe2Cl from Alexandria via LeMat-Bulk. Energies are from PBEsol.

abc: 5.4006 5.4006 6.1681
angles: 90.00 90.00 90.00
Space group I4/mmm (No. 139)
Unique sites:
Co  0.0000  0.0000  0.0000 (multiplicity 2)
Te  0.0000  0.5000  0.0000 (multiplicity 4)
Cl  0.0000  0.0000  0.5000 (multiplicity 2)

Output
Crystal system: tetragonal

<2>
Here is an optimized crystal structure of CoTe2Cl from Alexandria via LeMat-Bulk. Energies are from PBEsol.

abc: 5.0489 5.0489 3.0849
angles: 90.00 90.00 90.00
Space group P4/mmm (No. 123)
Unique sites:
Co  0.0000  0.0000  0.0000 (multiplicity 1)
Te  0.0000  0.5000  0.5000 (multiplicity 2)
Cl  0.5000  0.5000  0.0000 (multiplicity 1)

Output
Crystal system: tetragonal

<3>
Here is an optimized crystal structure of CoTe2Cl from Alexandria via LeMat-Bulk. Energies are from PBEsol.

abc: 6.4491 3.7278 7.4564
angles: 90.00 106.03 90.00
Space group C2/m (No. 12)
Unique sites:
Co  0.0000  0.0000  0.0000 (multiplicity 2)
Te  0.2231  0.5000  0.1790 (multiplicity 4)
Cl  0.0000  0.5000  0.5000 (multiplicity 2)

Output
Crystal system: monoclinic

Which one sits at the bottom of the stability order? <2> does.

<1>
Here is an optimized crystal structure of Tl3CoCl from Alexandria via LeMat-Bulk. Energies are from PBEsol.

abc: 5.6080 5.6080 5.6080
angles: 90.00 90.00 90.00
Space group Pm-3m (No. 221)
Unique sites:
Tl  0.0000  0.0000  0.5000 (multiplicity 3)
Co  0.5000  0.5000  0.5000 (multiplicity 1)
Cl  0.0000  0.0000  0.0000 (multiplicity 1)

Output
Crystal system: cubic

<2>
Here is an optimized crystal structure of Tl3CoCl from Alexandria via LeMat-Bulk. Energies are from PBEsol.

abc: 4.9892 4.9892 4.9892
angles: 90.00 90.00 90.00
Space group Pm-3m (No. 221)
Unique sites:
Tl  0.0000  0.0000  0.5000 (multiplicity 3)
Co  0.0000  0.0000  0.0000 (multiplicity 1)
Cl  0.5000  0.5000  0.5000 (multiplicity 1)

Output
Crystal system: cubic

Which one sits at the bottom of the stability order? <1> does.

<1>
Here is an optimized crystal structure of Tl2CoCl from Alexandria via LeMat-Bulk. Energies are from PBEsol.

abc: 3.5011 3.5011 23.3599
angles: 90.00 90.00 120.00
Space group R-3m (No. 166, hexagonal axes)
Unique sites:
Tl  0.0000  0.0000  0.2375 (multiplicity 6)
Co  0.0000  0.0000  0.5000 (multiplicity 3)
Cl  0.0000  0.0000  0.0000 (multiplicity 3)

Output
Crystal system: trigonal

<2>
Here is an optimized crystal structure of Tl2CoCl from Alexandria via LeMat-Bulk. Energies are from PBEsol.

abc: 5.1581 5.1581 3.0752
angles: 90.00 90.00 90.00
Space group P4/mmm (No. 123)
Unique sites:
Tl  0.0000  0.5000  0.0000 (multiplicity 2)
Co  0.0000  0.0000  0.5000 (multiplicity 1)
Cl  0.5000  0.5000  0.5000 (multiplicity 1)

Output
Crystal system: tetragonal

Which one sits at the bottom of the stability order? <2> does.

<1>
Here is an optimized crystal structure of YCoCl2 from Alexandria via LeMat-Bulk. Energies are from PBEsol.

abc: 3.5989 4.2650 4.2781
angles: 90.00 90.00 90.00
Space group Pmmm (No. 47)
Unique sites:
Y  0.0000  0.0000  0.0000 (multiplicity 1)
Co  0.0000  0.5000  0.5000 (multiplicity 1)
Cl  0.5000  0.0000  0.5000 (multiplicity 1)
Cl  0.5000  0.5000  0.0000 (multiplicity 1)

Output
Crystal system: orthorhombic

<2>
Here is an optimized crystal structure of YCoCl2 from Alexandria via LeMat-Bulk. Energies are from PBEsol.

abc: 4.3922 3.8440 4.4113
angles: 90.00 93.74 90.00
Space group P2/m (No. 10)
Unique sites:
Y  0.0000  0.0000  0.0000 (multiplicity 1)
Co  0.5000  0.0000  0.5000 (multiplicity 1)
Cl  0.2839  0.5000  0.7163 (multiplicity 2)

Output
Crystal system: monoclinic

Which one sits at the bottom of the stability order? <1> does.

<1>
Here is an optimized crystal structure of ZrCoCl2 from Alexandria via LeMat-Bulk. Energies are from PBEsol.

abc: 3.5692 3.5692 9.7129
angles: 90.00 90.00 90.00
Space group I-4m2 (No. 119)
Unique sites:
Zr  0.0000  0.0000  0.0000 (multiplicity 2)
Co  0.0000  0.5000  0.7500 (multiplicity 2)
Cl  0.0000  0.0000  0.5000 (multiplicity 2)
Cl  0.0000  0.5000  0.2500 (multiplicity 2)

Output
Crystal system: tetragonal

<2>
Here is an optimized crystal structure of ZrCoCl2 from Alexandria via LeMat-Bulk. Energies are from PBEsol.

abc: 3.1641 3.1641 23.8522
angles: 90.00 90.00 120.00
Space group R-3m (No. 166, hexagonal axes)
Unique sites:
Zr  0.0000  0.0000  0.0000 (multiplicity 3)
Co  0.0000  0.0000  0.5000 (multiplicity 3)
Cl  0.0000  0.0000  0.4105 (multiplicity 6)

Output
Crystal system: trigonal

Which one sits at the bottom of the stability order? <1> does.

<1>
Here is an optimized crystal structure of ZrCoCl2 from Alexandria via LeMat-Bulk. Energies are from PBEsol.

abc: 3.2608 3.7206 11.9282
angles: 90.00 90.00 90.00
Space group Imm2 (No. 44)
Unique sites:
Zr  0.0000  0.0000  0.0000 (multiplicity 2)
Co  0.0000  0.5000  0.3568 (multiplicity 2)
Cl  0.0000  0.0000  0.6064 (multiplicity 2)
Cl  0.0000  0.5000  0.8465 (multiplicity 2)

Output
Crystal system: orthorhombic

<2>
Here is an optimized crystal structure of ZrCoCl2 from Alexandria via LeMat-Bulk. Energies are from PBEsol.

abc: 3.1076 3.1076 28.0432
angles: 90.00 90.00 120.00
Space group R-3m (No. 166, hexagonal axes)
Unique sites:
Zr  0.0000  0.0000  0.0000 (multiplicity 3)
Co  0.0000  0.0000  0.5000 (multiplicity 3)
Cl  0.0000  0.0000  0.2676 (multiplicity 6)

Output
Crystal system: trigonal

Which one sits at the bottom of the stability order? <2> does.

<1>
Here is an optimized crystal structure of Cr3Cl from Alexandria via LeMat-Bulk. Energies are from PBEsol.

abc: 4.1016 4.1016 2.7403
angles: 90.00 90.00 90.00
Space group P4/mmm (No. 123)
Unique sites:
Cr  0.0000  0.0000  0.0000 (multiplicity 1)
Cr  0.0000  0.5000  0.5000 (multiplicity 2)
Cl  0.5000  0.5000  0.0000 (multiplicity 1)

Output
Crystal system: tetragonal

<2>
Here is an optimized crystal structure of Cr3Cl from Alexandria via LeMat-Bulk. Energies are from PBEsol.

abc: 4.0723 4.0723 4.0723
angles: 90.00 90.00 90.00
Space group Pm-3m (No. 221)
Unique sites:
Cr  0.0000  0.0000  0.5000 (multiplicity 3)
Cl  0.0000  0.0000  0.0000 (multiplicity 1)

Output
Crystal system: cubic

Which one sits at the bottom of the stability order? <2> does.